CsMnTeN2: single point on PBEsol structure, meta-GGA SCAN.

Unit cell a=4.272 b=4.272 c=7.267 alpha=90.00 beta=90.00 gamma=90.00
Fractional coordinates of all 5 atoms:
Cs (0.000, 0.000, 0.000)
Mn (0.500, 0.500, 0.500)
Te (0.000, 0.000, 0.500)
N (0.000, 0.500, 0.000)
N (0.500, 0.000, 0.000)

Properties
SG: P4/mmm
D(E_F), states/eV per cell: 1.9
E, eV/atom: -20.308
Formation energy from raw total energies, eV/f.u.: 10.4
Spin magnetization, Bohr magnetons per cell: 6.7

=====

La3BC: single point on PBEsol structure, meta-GGA SCAN.

Unit cell a=5.025 b=5.025 c=5.025 alpha=90.00 beta=90.00 gamma=90.00
Fractional coordinates of all 5 atoms:
La (0.000, 0.000, 0.500)
La (0.000, 0.500, 0.000)
La (0.500, 0.000, 0.000)
B (0.000, 0.000, 0.000)
C (0.500, 0.500, 0.500)

Properties
ΔH_f (0 K), eV/atom: 0.843
SG: Pm-3m
D(E_F), states/eV per cell: 1.6
E, eV/atom: -28.526
Spin magnetization, Bohr magnetons per cell: 0.0

=====

SrMnCd: single point on PBEsol structure, meta-GGA SCAN.

Unit cell a=4.884 b=4.884 c=4.884 alpha=60.00 beta=60.00 gamma=60.00
Fractional coordinates of all 3 atoms:
Sr (0.000, 0.000, 0.000)
Mn (0.250, 0.250, 0.250)
Cd (0.500, 0.500, 0.500)

Properties
ΔH_f (0 K), eV/atom: 0.218
SG: F-43m
D(E_F), states/eV per cell: 2.4
E, eV/atom: -23.430
Spin magnetization, Bohr magnetons per cell: 3.9

=====

Ni2OsW: single point on PBEsol structure, meta-GGA SCAN.

Unit cell a=4.505 b=4.505 c=4.555 alpha=100.15 beta=100.15 gamma=34.44
Fractional coordinates of all 4 atoms:
Ni (0.247, 0.247, 0.248)
Ni (0.753, 0.753, 0.752)
Os (0.500, 0.500, 0.000)
W (0.000, 0.000, 0.500)

Properties
ΔH_f (0 K), eV/atom: 0.160
SG: C2/m
D(E_F), states/eV per cell: 4.2
E, eV/atom: -43.319
Spin magnetization, Bohr magnetons per cell: 0.8

=====

Computed calculated volume (Å³/cell) in order:
132.6 126.9 82.4 51.4